Entry 1:
CaAsO: optimized geometry, PBE-GGA.

Summary:
Volume   135.8 Å³/cell
Uncorrected formation energy   -1773 meV per atom
DFT total energy   -5.643 eV per atom

a = 3.830 Å, b = 3.831 Å, c = 10.690 Å
α = 89.32°, β = 90.00°, γ = 119.99°
Positions (direct):
O  0.836  0.672  0.892
O  0.164  0.328  0.108
As  0.835  0.670  0.438
As  0.165  0.330  0.562
Ca  0.831  0.662  0.115
Ca  0.169  0.338  0.885



Entry 2:
Dy3YEr2Se6: optimized geometry, PBE-GGA.

Summary:
Volume   284.7 Å³/cell
Uncorrected formation energy   -1733 meV per atom
DFT total energy   -5.925 eV per atom

a = 4.053 Å, b = 8.160 Å, c = 9.084 Å
α = 103.20°, β = 102.89°, γ = 90.00°
Positions (direct):
Dy  0.500  0.500  0.000
Dy  0.835  0.167  0.669
Dy  0.165  0.833  0.331
Y  0.500  0.000  0.000
Er  0.834  0.668  0.668
Er  0.166  0.332  0.332
Se  0.332  0.914  0.665
Se  0.668  0.581  0.336
Se  0.668  0.086  0.335
Se  0.001  0.251  0.003
Se  0.999  0.749  0.997
Se  0.332  0.419  0.664



Entry 3:
Sr2YCr: optimized geometry, PBE-GGA.

Summary:
Volume   144.3 Å³/cell
Distance to the lowest polymorph of the same formula   0.107 eV/atom
DFT total energy   -4.410 eV per atom

a = 7.043 Å, b = 7.043 Å, c = 6.052 Å
α = 64.56°, β = 64.56°, γ = 32.51°
Positions (direct):
Cr  0.234  0.234  0.266
Sr  0.961  0.961  0.039
Sr  0.753  0.753  0.747
Y  0.552  0.552  0.448



Entry 4:
Cd2Co2Sb: optimized geometry, PBE-GGA.

Summary:
Volume   99.6 Å³/cell
Uncorrected formation energy   338 meV per atom
Distance to the lowest polymorph of the same formula   0.155 eV/atom
DFT total energy   -3.695 eV per atom

a = 9.324 Å, b = 9.324 Å, c = 9.324 Å
α = 159.47°, β = 159.47°, γ = 29.19°
Positions (direct):
Cd  0.627  0.627  0.000
Cd  0.373  0.373  0.000
Co  0.250  0.750  0.500
Co  0.750  0.250  0.500
Sb  0.000  0.000  0.000



Entry 5:
Sc2AgRu: optimized geometry, PBE-GGA.

Summary:
Volume   73.8 Å³/cell
DFT total energy   -6.712 eV per atom

a = 3.233 Å, b = 3.270 Å, c = 7.701 Å
α = 64.98°, β = 90.00°, γ = 90.00°
Positions (direct):
Sc  0.000  0.030  0.971
Sc  0.000  0.470  0.529
Ru  0.500  0.750  0.750
Ag  0.500  0.250  0.250



Entry 6:
ZrHgSbBr2: optimized geometry, PBE-GGA.

Summary:
Volume   163.1 Å³/cell
Uncorrected formation energy   575 meV per atom
Distance to the lowest polymorph of the same formula   0.000 eV/atom
DFT total energy   -2.688 eV per atom

a = 5.294 Å, b = 5.817 Å, c = 5.294 Å
α = 90.00°, β = 90.00°, γ = 90.00°
Positions (direct):
Sb  0.000  0.500  0.000
Br  0.000  0.000  0.500
Br  0.500  0.000  0.000
Hg  0.000  0.000  0.000
Zr  0.500  0.500  0.500



Entry 7:
LaTl2Cl: optimized geometry, PBE-GGA.

Summary:
Volume   125.3 Å³/cell
Uncorrected formation energy   -799 meV per atom
Distance to the lowest polymorph of the same formula   0.000 eV/atom
DFT total energy   -3.676 eV per atom

a = 3.587 Å, b = 3.587 Å, c = 9.739 Å
α = 90.00°, β = 90.00°, γ = 90.00°
Positions (direct):
Tl  0.000  0.000  0.974
Tl  0.500  0.500  0.220
Cl  0.000  0.000  0.569
La  0.500  0.500  0.737



Entry 8:
KIr2Cl: optimized geometry, PBE-GGA.

Summary:
Volume   84.2 Å³/cell
Uncorrected formation energy   46 meV per atom
Distance to the lowest polymorph of the same formula   0.000 eV/atom
DFT total energy   -5.120 eV per atom

a = 3.748 Å, b = 2.924 Å, c = 7.821 Å
α = 79.29°, β = 90.00°, γ = 90.00°
Positions (direct):
K  0.000  0.551  0.520
Ir  0.000  0.790  0.048
Ir  0.500  0.229  0.169
Cl  0.500  0.930  0.763



- Number 2 is which compound?
  Dy3YEr2Se6